Nd2Te4MoO14 | PBE+U | optimized geometry

a = 7.043 Å, b = 10.259 Å, c = 10.262 Å
α = 90.37°, β = 107.19°, γ = 93.36°
Positions (direct):
1 Mo 0.476 0.968 0.233
2 Mo 0.524 0.032 0.767
3 Te 0.740 0.605 0.280
4 Te 0.059 0.213 0.956
5 Te 0.925 0.830 0.633
6 Te 0.941 0.787 0.044
7 Te 0.362 0.724 0.543
8 Te 0.260 0.395 0.720
9 Te 0.638 0.276 0.457
10 Te 0.075 0.170 0.367
11 O 0.496 0.583 0.134
12 O 0.024 0.769 0.815
13 O 0.585 0.398 0.310
14 O 0.897 0.355 0.949
15 O 0.504 0.417 0.866
16 O 0.589 0.124 0.927
17 O 0.415 0.602 0.690
18 O 0.375 0.881 0.771
19 O 0.393 0.127 0.630
20 O 0.711 0.701 0.601
21 O 0.976 0.231 0.185
22 O 0.625 0.119 0.229
23 O 0.411 0.876 0.073
24 O 0.289 0.299 0.399
25 O 0.296 0.299 0.068
26 O 0.247 0.010 0.261
27 O 0.134 0.237 0.789
28 O 0.103 0.645 0.051
29 O 0.070 0.717 0.543
30 O 0.704 0.701 0.932
31 O 0.607 0.873 0.370
32 O 0.930 0.283 0.457
33 O 0.123 0.509 0.800
34 O 0.693 0.394 0.603
35 O 0.877 0.491 0.200
36 O 0.307 0.606 0.397
37 O 0.866 0.763 0.211
38 O 0.753 0.990 0.739
39 Nd 0.356 0.692 0.917
40 Nd 0.644 0.308 0.083
41 Nd 0.782 0.534 0.787
42 Nd 0.218 0.466 0.213

Output
Its total DFT energy (no corrections) is -136.15 eV/f.u. The total magnetic moment comes out at 0.0 Bohr magnetons per cell.